(1)
First-principles (PBE-GGA) data for crystalline RbSnGe2S6 at its relaxed geometry, as listed in the Alexandria database.

Summary:
V ... 28.0 Å³/atom
ρ ... 3212 kg/m3
Formation energy from raw total energies ... -0.365 eV/atom

Cell lengths 6.463, 9.388, 9.388 Å; angles 94.91, 83.81, 83.81 degrees
Positions (direct):
Rb1 0.250 0.898 0.102
Rb2 0.750 0.102 0.898
Sn1 0.250 0.270 0.730
Sn2 0.750 0.730 0.270
Ge1 0.262 0.786 0.628
Ge2 0.238 0.372 0.214
Ge3 0.738 0.214 0.372
Ge4 0.762 0.628 0.786
S1 0.230 0.986 0.778
S2 0.270 0.222 0.014
S3 0.770 0.014 0.222
S4 0.730 0.778 0.986
S5 0.388 0.841 0.416
S6 0.112 0.584 0.159
S7 0.612 0.159 0.584
S8 0.888 0.416 0.841
S9 0.934 0.717 0.594
S10 0.566 0.406 0.283
S11 0.066 0.283 0.406
S12 0.434 0.594 0.717

(2)
First-principles (PBE-GGA) data for crystalline Rb2SrGeS4 at its relaxed geometry, as listed in the Alexandria database.

Summary:
V ... 33.6 Å³/atom
ρ ... 2837 kg/m3
Formation energy from raw total energies ... -1.114 eV/atom

Cell lengths 6.530, 9.582, 8.597 Å; angles 90.00, 90.00, 90.00 degrees
Positions (direct):
Rb1 0.439 0.358 0.288
Rb2 0.439 0.358 0.712
Rb3 0.939 0.642 0.788
Rb4 0.939 0.642 0.212
Sr1 0.953 0.100 0.500
Sr2 0.453 0.900 0.000
Ge1 0.522 0.826 0.500
Ge2 0.022 0.174 0.000
S1 0.362 0.184 0.000
S2 0.862 0.816 0.500
S3 0.431 0.053 0.500
S4 0.931 0.947 0.000
S5 0.426 0.711 0.720
S6 0.926 0.289 0.220
S7 0.926 0.289 0.780
S8 0.426 0.711 0.280

(3)
First-principles (PBE-GGA) data for crystalline Rb2SrGe2S6 at its relaxed geometry, as listed in the Alexandria database.

Summary:
V ... 33.0 Å³/atom
ρ ... 2728 kg/m3
Formation energy from raw total energies ... -0.902 eV/atom

Cell lengths 7.331, 7.241, 8.833 Å; angles 112.35, 90.00, 120.41 degrees
Positions (direct):
Rb1 0.698 0.396 0.187
Rb2 0.302 0.604 0.813
Sr1 0.500 0.000 0.500
Ge1 0.952 0.904 0.732
Ge2 0.048 0.096 0.268
S1 0.763 0.527 0.622
S2 0.197 0.896 0.208
S3 0.301 0.104 0.792
S4 0.803 0.104 0.792
S5 0.699 0.896 0.208
S6 0.237 0.473 0.378